Entry 1:
# LiTl3O4, optimized geometry, DFT GGA-PBE
data_LiTl3O4
_chemical_formula_sum 'Li2 Tl6 O8'
_space_group_name_H-M_alt 'I -4 2 m'
_space_group_IT_number 121
_space_group_name_Hall 'I -4 2'
_cell_length_a 5.191
_cell_length_b 5.191
_cell_length_c 10.270
_cell_angle_alpha 90.00
_cell_angle_beta 90.00
_cell_angle_gamma 90.00
loop_
_atom_site_label
_atom_site_type_symbol
_atom_site_fract_x
_atom_site_fract_y
_atom_site_fract_z
Li1 Li 0.000 0.000 0.000
Tl1 Tl 0.000 0.000 0.500
Tl2 Tl 0.000 0.500 0.250
O1 O 0.218 0.218 0.872
# Distance to the lowest polymorph of the same formula = 0 meV/atom
# Uncorrected formation energy = -0.841 eV/atom
# Density of states at the Fermi level = 0.146 states/eV/atom
# Energy = -35.58 eV/f.u.

=====

Entry 2:
# IrWCl2, optimized geometry, DFT GGA-PBE
data_IrWCl2
_chemical_formula_sum 'Ir2 W2 Cl4'
_space_group_name_H-M_alt 'C m m m'
_space_group_IT_number 65
_space_group_name_Hall '-C 2 2'
_cell_length_a 5.582
_cell_length_b 8.120
_cell_length_c 2.864
_cell_angle_alpha 90.00
_cell_angle_beta 90.00
_cell_angle_gamma 90.00
loop_
_atom_site_label
_atom_site_type_symbol
_atom_site_fract_x
_atom_site_fract_y
_atom_site_fract_z
Ir1 Ir 0.000 0.000 0.000
W1 W 0.000 0.500 0.000
Cl1 Cl 0.250 0.250 0.500
# Distance to the lowest polymorph of the same formula = 1589 meV/atom
# Uncorrected formation energy = 1.404 eV/atom
# Density of states at the Fermi level = 1.474 states/eV/atom
# Energy = -19.89 eV/f.u.

=====

Entry 3:
# Pm2AuF, optimized geometry, DFT GGA-PBE
data_Pm2AuF
_chemical_formula_sum 'Pm6 Au3 F3'
_space_group_name_H-M_alt 'R -3 m'
_space_group_IT_number 166
_space_group_name_Hall '-R 3 2"'
_cell_length_a 4.1784
_cell_length_b 4.1784
_cell_length_c 18.5823
_cell_angle_alpha 90.00
_cell_angle_beta 90.00
_cell_angle_gamma 120.00
loop_
_atom_site_label
_atom_site_type_symbol
_atom_site_fract_x
_atom_site_fract_y
_atom_site_fract_z
Pm1 Pm 0.0000 0.0000 0.2411
Au1 Au 0.0000 0.0000 0.0000
F1 F 0.0000 0.0000 0.5000
# Distance to the lowest polymorph of the same formula = 0 meV/atom
# Uncorrected formation energy = -1.503 eV/atom
# Density of states at the Fermi level = 0.596 states/eV/atom
# Energy = -20.66 eV/f.u.

=====

Entry 4:
# Cd3P, optimized geometry, DFT GGA-PBE
data_Cd3P
_chemical_formula_sum 'Cd3 P1'
_space_group_name_H-M_alt 'P m m m'
_space_group_IT_number 47
_space_group_name_Hall '-P 2 2'
_cell_length_a 2.881
_cell_length_b 3.801
_cell_length_c 7.829
_cell_angle_alpha 90.00
_cell_angle_beta 90.00
_cell_angle_gamma 90.00
loop_
_atom_site_label
_atom_site_type_symbol
_atom_site_fract_x
_atom_site_fract_y
_atom_site_fract_z
Cd1 Cd 0.000 0.000 0.000
Cd2 Cd 0.500 0.500 0.277
P1 P 0.000 0.000 0.500
# Distance to the lowest polymorph of the same formula = 110 meV/atom
# E_form = 0.200 eV/atom
# Density of states at the Fermi level = 0.307 states/eV/atom
# Energy = -7.36 eV/f.u.

=====

Entry 5:
# LaYCuRu, optimized geometry, DFT GGA-PBE
data_LaYCuRu
_chemical_formula_sum 'La4 Y4 Cu4 Ru4'
_space_group_name_H-M_alt 'F -4 3 m'
_space_group_IT_number 216
_space_group_name_Hall 'F -4 2 3'
_cell_length_a 7.049
_cell_length_b 7.049
_cell_length_c 7.049
_cell_angle_alpha 90.00
_cell_angle_beta 90.00
_cell_angle_gamma 90.00
loop_
_atom_site_label
_atom_site_type_symbol
_atom_site_fract_x
_atom_site_fract_y
_atom_site_fract_z
La1 La 0.000 0.000 0.000
Y1 Y 0.000 0.000 0.500
Cu1 Cu 0.250 0.250 0.250
Ru1 Ru 0.250 0.250 0.750
# E_form = -0.225 eV/atom
# Density of states at the Fermi level = 0.709 states/eV/atom
# Energy = -25.66 eV/f.u.

=====

Entry 6:
# Ac4TeIrPd2, optimized geometry, DFT GGA-PBE
data_Ac4TeIrPd2
_chemical_formula_sum 'Ac4 Te1 Ir1 Pd2'
_space_group_name_H-M_alt 'P 1 2/m 1'
_space_group_IT_number 10
_space_group_name_Hall '-P 2y'
_cell_length_a 7.687
_cell_length_b 4.417
_cell_length_c 8.110
_cell_angle_alpha 90.00
_cell_angle_beta 108.53
_cell_angle_gamma 90.00
loop_
_atom_site_label
_atom_site_type_symbol
_atom_site_fract_x
_atom_site_fract_y
_atom_site_fract_z
Ac1 Ac 0.242 0.000 0.218
Ac2 Ac 0.255 0.500 0.773
Te1 Te 0.500 0.500 0.500
Ir1 Ir 0.500 0.000 0.000
Pd1 Pd 0.000 0.000 0.500
Pd2 Pd 0.000 0.500 0.000
# Uncorrected formation energy = -0.863 eV/atom
# Density of states at the Fermi level = 0.632 states/eV/atom
# Energy = -45.72 eV/f.u.

=====

Entry 7:
# Ho3MgTe4, optimized geometry, DFT GGA-PBE
data_Ho3MgTe4
_chemical_formula_sum 'Ho9 Mg3 Te12'
_space_group_name_H-M_alt 'R -3 m'
_space_group_IT_number 166
_space_group_name_Hall '-R 3 2"'
_cell_length_a 4.2353
_cell_length_b 4.2353
_cell_length_c 44.0717
_cell_angle_alpha 90.00
_cell_angle_beta 90.00
_cell_angle_gamma 120.00
loop_
_atom_site_label
_atom_site_type_symbol
_atom_site_fract_x
_atom_site_fract_y
_atom_site_fract_z
Ho1 Ho 0.0000 0.0000 0.0000
Ho2 Ho 0.0000 0.0000 0.2512
Mg1 Mg 0.0000 0.0000 0.5000
Te1 Te 0.0000 0.0000 0.1265
Te2 Te 0.0000 0.0000 0.3748
# Uncorrected formation energy = -1.130 eV/atom
# Density of states at the Fermi level = 0.527 states/eV/atom
# Energy = -36.93 eV/f.u.

=====

Entry 8:
# CaMg4Tl4, optimized geometry, DFT GGA-PBE
data_CaMg4Tl4
_chemical_formula_sum 'Ca2 Mg8 Tl8'
_space_group_name_H-M_alt 'P 42/n m c'
_space_group_IT_number 137
_cell_length_a 6.986
_cell_length_b 6.986
_cell_length_c 10.088
_cell_angle_alpha 90.00
_cell_angle_beta 90.00
_cell_angle_gamma 90.00
loop_
_space_group_symop_operation_xyz
'x,y,z'
'-x,-y,-z'
'-y+1/2,x,z+1/2'
'y+1/2,-x,-z+1/2'
'-x+1/2,-y+1/2,z'
'x+1/2,y+1/2,-z'
'y,-x+1/2,z+1/2'
'-y,x+1/2,-z+1/2'
'x+1/2,-y,-z'
'-x+1/2,y,z'
'-y,-x,-z+1/2'
'y,x,z+1/2'
'-x,y+1/2,-z'
'x,-y+1/2,z'
'y+1/2,x+1/2,-z+1/2'
'-y+1/2,-x+1/2,z+1/2'
loop_
_atom_site_label
_atom_site_type_symbol
_atom_site_fract_x
_atom_site_fract_y
_atom_site_fract_z
Ca1 Ca 0.250 0.750 0.250
Mg1 Mg 0.030 0.250 0.173
Tl1 Tl 0.016 0.250 0.466
# E_form = -0.046 eV/atom
# Density of states at the Fermi level = 0.465 states/eV/atom
# Energy = -18.26 eV/f.u.

=====

Entry 9:
# SbTeIr2, optimized geometry, DFT GGA-PBE
data_SbTeIr2
_chemical_formula_sum 'Sb4 Te4 Ir8'
_space_group_name_H-M_alt 'I -4 2 d'
_space_group_IT_number 122
_space_group_name_Hall 'I -4 2bw'
_cell_length_a 5.856
_cell_length_b 5.856
_cell_length_c 12.094
_cell_angle_alpha 90.00
_cell_angle_beta 90.00
_cell_angle_gamma 90.00
loop_
_atom_site_label
_atom_site_type_symbol
_atom_site_fract_x
_atom_site_fract_y
_atom_site_fract_z
Sb1 Sb 0.000 0.000 0.000
Te1 Te 0.000 0.000 0.500
Ir1 Ir 0.246 0.250 0.625
# Distance to the lowest polymorph of the same formula = 155 meV/atom
# Uncorrected formation energy = 0.227 eV/atom
# Density of states at the Fermi level = 0.706 states/eV/atom
# Energy = -24.08 eV/f.u.

=====

Entry 10:
# Be2Co, optimized geometry, DFT GGA-PBE
data_Be2Co
_chemical_formula_sum 'Be2 Co1'
_space_group_name_H-M_alt 'P 4/m m m'
_space_group_IT_number 123
_space_group_name_Hall '-P 4 2'
_cell_length_a 3.556
_cell_length_b 3.556
_cell_length_c 2.473
_cell_angle_alpha 90.00
_cell_angle_beta 90.00
_cell_angle_gamma 90.00
loop_
_atom_site_label
_atom_site_type_symbol
_atom_site_fract_x
_atom_site_fract_y
_atom_site_fract_z
Be1 Be 0.000 0.500 0.000
Co1 Co 0.000 0.000 0.500
# E_form = 0.022 eV/atom
# Density of states at the Fermi level = 0.512 states/eV/atom
# Energy = -14.49 eV/f.u.

=====

Entry 11:
# ScAs2C, optimized geometry, DFT GGA-PBE
data_ScAs2C
_chemical_formula_sum 'Sc4 As8 C4'
_space_group_name_H-M_alt 'I -4 2 d'
_space_group_IT_number 122
_space_group_name_Hall 'I -4 2bw'
_cell_length_a 6.068
_cell_length_b 6.068
_cell_length_c 7.627
_cell_angle_alpha 90.00
_cell_angle_beta 90.00
_cell_angle_gamma 90.00
loop_
_atom_site_label
_atom_site_type_symbol
_atom_site_fract_x
_atom_site_fract_y
_atom_site_fract_z
Sc1 Sc 0.000 0.000 0.000
As1 As 0.159 0.750 0.625
C1 C 0.000 0.000 0.500
# E_form = 0.215 eV/atom
# Density of states at the Fermi level = 0.764 states/eV/atom
# Energy = -23.99 eV/f.u.

=====

Entry 12:
# CeSnRuRh, optimized geometry, DFT GGA-PBE
data_CeSnRuRh
_chemical_formula_sum 'Ce4 Sn4 Ru4 Rh4'
_space_group_name_H-M_alt 'F -4 3 m'
_space_group_IT_number 216
_space_group_name_Hall 'F -4 2 3'
_cell_length_a 6.725
_cell_length_b 6.725
_cell_length_c 6.725
_cell_angle_alpha 90.00
_cell_angle_beta 90.00
_cell_angle_gamma 90.00
loop_
_atom_site_label
_atom_site_type_symbol
_atom_site_fract_x
_atom_site_fract_y
_atom_site_fract_z
Ce1 Ce 0.000 0.000 0.000
Sn1 Sn 0.000 0.000 0.500
Ru1 Ru 0.250 0.250 0.250
Rh1 Rh 0.250 0.250 0.750
# E_form = -0.511 eV/atom
# Density of states at the Fermi level = 1.520 states/eV/atom
# Energy = -28.61 eV/f.u.

=====

Calculated size of the total moment (μB per formula unit), listed in the same order as above: 0.0; 0.0; 0.0; 0.0; 0.0; 0.0; 0.0; 0.0; 0.0; 0.0; 0.0; 0.6